No. 1
# PBE Pm4SmSc, relaxed
# ΔE_f, meV/atom: 363.1
# Space group: Imma, No. 74
# Magnetic moment, μB/f.u.: 0.000
# DOS at the Fermi energy, states/eV/cell: 16.6
data_Pm4SmSc
_cell_length_a 7.9092
_cell_length_b 8.6961
_cell_length_c 8.3130
_cell_angle_alpha 121.54
_cell_angle_beta 118.41
_cell_angle_gamma 90.00
_space_group_name_H-M_alt 'P 1'
_space_group_IT_number 1
_space_group_name_Hall 'P 1'
loop_
_atom_site_label
_atom_site_type_symbol
_atom_site_fract_x
_atom_site_fract_y
_atom_site_fract_z
_atom_site_occupancy
Pm1 Pm 0.7716 0.7130 0.5431 1
Pm2 Pm 0.1844 0.7240 0.9480 1
Pm3 Pm 0.7636 0.7240 0.9480 1
Pm4 Pm 0.7716 0.3301 0.5431 1
Pm5 Pm 0.2284 0.6699 0.4569 1
Pm6 Pm 0.8156 0.2760 0.0520 1
Pm7 Pm 0.2364 0.2760 0.0520 1
Pm8 Pm 0.2284 0.2870 0.4569 1
Sm1 Sm 0.5000 0.0000 0.5000 1
Sm2 Sm 0.0000 0.0000 0.5000 1
Sc1 Sc 0.5000 0.5000 0.0000 1
Sc2 Sc 0.5000 0.0000 0.0000 1

***

No. 2
# PBE PmSm3Sc7, relaxed
# ΔE_f, meV/atom: 288.9
# Space group: Immm, No. 71
# Magnetic moment, μB/f.u.: 0.000
# DOS at the Fermi energy, states/eV/cell: 15.6
data_PmSm3Sc7
_cell_length_a 5.4933
_cell_length_b 8.0365
_cell_length_c 8.0365
_cell_angle_alpha 82.19
_cell_angle_beta 109.97
_cell_angle_gamma 109.97
_space_group_name_H-M_alt 'P 1'
_space_group_IT_number 1
_space_group_name_Hall 'P 1'
loop_
_atom_site_label
_atom_site_type_symbol
_atom_site_fract_x
_atom_site_fract_y
_atom_site_fract_z
_atom_site_occupancy
Pm1 Pm 0.5000 0.5000 0.5000 1
Sm1 Sm 0.0000 0.7867 0.2133 1
Sm2 Sm 0.5000 0.0000 0.0000 1
Sm3 Sm 0.0000 0.2133 0.7867 1
Sc1 Sc 0.2065 0.2067 0.2067 1
Sc2 Sc 0.2800 0.9688 0.5911 1
Sc3 Sc 0.7200 0.4089 0.0312 1
Sc4 Sc 0.2800 0.5911 0.9688 1
Sc5 Sc 0.0000 0.5000 0.5000 1
Sc6 Sc 0.7200 0.0312 0.4089 1
Sc7 Sc 0.7935 0.7933 0.7933 1

***

Q: What is the formula in the second record?
A: PmSm3Sc7